# Ca2ZrFe

A relaxed Ca2ZrFe crystal (PBE, Alexandria via LeMat-Bulk).

Results
energy relative to the lowest polymorph listed for this composition	448.6	meV per atom
symmetry	No. 166

The structure in CIF format:
```
data_Ca2ZrFe
_symmetry_space_group_name_H-M 'P 1'
_symmetry_Int_Tables_number 1
_cell_length_a 10.737
_cell_length_b 10.737
_cell_length_c 10.737
_cell_angle_alpha 17.78
_cell_angle_beta 17.78
_cell_angle_gamma 17.78
loop_
_symmetry_equiv_pos_as_xyz
'x,y,z'
loop_
_atom_site_label
_atom_site_type_symbol
_atom_site_fract_x
_atom_site_fract_y
_atom_site_fract_z
_atom_site_occupancy
Ca1 Ca 0.991 0.991 0.991 1
Ca2 Ca 0.509 0.509 0.509 1
Fe1 Fe 0.250 0.250 0.250 1
Zr1 Zr 0.750 0.750 0.750 1
```

***

# Ca2ZrFe

A relaxed Ca2ZrFe crystal (PBE, Alexandria via LeMat-Bulk).

Results
energy relative to the lowest polymorph listed for this composition	424.7	meV per atom
symmetry	No. 119

The structure in CIF format:
```
data_Ca2ZrFe
_symmetry_space_group_name_H-M 'P 1'
_symmetry_Int_Tables_number 1
_cell_length_a 5.133
_cell_length_b 5.133
_cell_length_c 5.133
_cell_angle_alpha 120.13
_cell_angle_beta 120.13
_cell_angle_gamma 89.78
loop_
_symmetry_equiv_pos_as_xyz
'x,y,z'
loop_
_atom_site_label
_atom_site_type_symbol
_atom_site_fract_x
_atom_site_fract_y
_atom_site_fract_z
_atom_site_occupancy
Ca1 Ca 0.000 0.000 0.000 1
Ca2 Ca 0.250 0.750 0.500 1
Fe1 Fe 0.500 0.500 0.000 1
Zr1 Zr 0.750 0.250 0.500 1
```

***

# Ca3Ga5

A relaxed Ca3Ga5 crystal (PBE, Alexandria via LeMat-Bulk).

Results
symmetry	No. 63

The structure in CIF format:
```
data_Ca3Ga5
_symmetry_space_group_name_H-M 'P 1'
_symmetry_Int_Tables_number 1
_cell_length_a 5.836
_cell_length_b 5.836
_cell_length_c 15.016
_cell_angle_alpha 90.00
_cell_angle_beta 90.00
_cell_angle_gamma 134.68
loop_
_symmetry_equiv_pos_as_xyz
'x,y,z'
loop_
_atom_site_label
_atom_site_type_symbol
_atom_site_fract_x
_atom_site_fract_y
_atom_site_fract_z
_atom_site_occupancy
Ca1 Ca 0.869 0.131 0.750 1
Ca2 Ca 0.131 0.869 0.250 1
Ca3 Ca 0.411 0.589 0.110 1
Ca4 Ca 0.589 0.411 0.890 1
Ca5 Ca 0.589 0.411 0.610 1
Ca6 Ca 0.411 0.589 0.390 1
Ga1 Ga 0.162 0.838 0.750 1
Ga2 Ga 0.838 0.162 0.250 1
Ga3 Ga 0.708 0.292 0.400 1
Ga4 Ga 0.292 0.708 0.600 1
Ga5 Ga 0.292 0.708 0.900 1
Ga6 Ga 0.708 0.292 0.100 1
Ga7 Ga 0.884 0.116 0.534 1
Ga8 Ga 0.116 0.884 0.466 1
Ga9 Ga 0.116 0.884 0.034 1
Ga10 Ga 0.884 0.116 0.966 1
```

***

# Ca5Ga6

A relaxed Ca5Ga6 crystal (PBE, Alexandria via LeMat-Bulk).

Results
symmetry	No. 65

The structure in CIF format:
```
data_Ca5Ga6
_symmetry_space_group_name_H-M 'P 1'
_symmetry_Int_Tables_number 1
_cell_length_a 4.159
_cell_length_b 4.373
_cell_length_c 15.458
_cell_angle_alpha 98.13
_cell_angle_beta 90.00
_cell_angle_gamma 90.00
loop_
_symmetry_equiv_pos_as_xyz
'x,y,z'
loop_
_atom_site_label
_atom_site_type_symbol
_atom_site_fract_x
_atom_site_fract_y
_atom_site_fract_z
_atom_site_occupancy
Ca1 Ca 0.500 0.804 0.608 1
Ca2 Ca 0.500 0.196 0.392 1
Ca3 Ca 0.000 0.618 0.235 1
Ca4 Ca 0.000 0.382 0.765 1
Ca5 Ca 0.000 0.000 0.000 1
Ga1 Ga 0.500 0.541 0.082 1
Ga2 Ga 0.500 0.459 0.918 1
Ga3 Ga 0.000 0.725 0.449 1
Ga4 Ga 0.000 0.275 0.551 1
Ga5 Ga 0.500 0.913 0.827 1
Ga6 Ga 0.500 0.087 0.173 1
```

***

no.,density (g/cm³),total magnetic moment (μB/cell),VASP energy (eV/atom)
1,3.74,2.42,-4.646
2,3.95,0.82,-4.670
3,4.28,0.00,-3.161
4,3.69,0.00,-3.036